(1)
Below is CeGe3Ru at its PBEsol-relaxed geometry, with properties calculated at the meta-GGA SCAN level.

Calculated values
Energy   -1121.3 eV/cell
Space-group type   Pm-3n

a = 8.9411 Å, b = 8.9411 Å, c = 8.9411 Å
α = 90.00°, β = 90.00°, γ = 90.00°
Last column: magnetic moment on the atom in μB.
Fractional positions:
Ge 0.3474 0.1740 0.5000  0.00
Ge 0.5000 0.6526 0.1740  0.00
Ge 0.0000 0.3260 0.1526  0.00
Ce 0.0000 0.2500 0.5000  0.07
Ge 0.8260 0.5000 0.3474  0.00
Ge 0.0000 0.6740 0.1526  0.00
Ge 0.0000 0.6740 0.8474  0.00
Ce 0.5000 0.0000 0.7500  0.07
Ru 0.7500 0.7500 0.7500  -0.03
Ce 0.0000 0.0000 0.0000  1.01
Ce 0.2500 0.5000 0.0000  0.07
Ge 0.3260 0.1526 0.0000  0.00
Ru 0.2500 0.7500 0.7500  -0.03
Ge 0.8474 0.0000 0.3260  0.00
Ge 0.8260 0.5000 0.6526  0.00
Ge 0.3260 0.8474 0.0000  0.00
Ge 0.1740 0.5000 0.6526  0.00
Ge 0.1526 0.0000 0.3260  0.00
Ru 0.7500 0.2500 0.2500  -0.03
Ce 0.0000 0.7500 0.5000  0.07
Ru 0.7500 0.2500 0.7500  -0.03
Ge 0.6526 0.8260 0.5000  0.00
Ge 0.0000 0.3260 0.8474  0.00
Ge 0.5000 0.3474 0.8260  0.00
Ge 0.6526 0.1740 0.5000  0.00
Ge 0.5000 0.3474 0.1740  0.00
Ru 0.2500 0.7500 0.2500  -0.03
Ge 0.6740 0.1526 0.0000  0.00
Ru 0.2500 0.2500 0.7500  -0.03
Ge 0.5000 0.6526 0.8260  0.00
Ge 0.1526 0.0000 0.6740  0.00
Ge 0.6740 0.8474 0.0000  0.00
Ge 0.3474 0.8260 0.5000  0.00
Ru 0.2500 0.2500 0.2500  -0.03
Ce 0.7500 0.5000 0.0000  0.07
Ce 0.5000 0.5000 0.5000  1.01
Ge 0.1740 0.5000 0.3474  0.00
Ge 0.8474 0.0000 0.6740  0.00
Ru 0.7500 0.7500 0.2500  -0.03
Ce 0.5000 0.0000 0.2500  0.07



(2)
Below is Ce2SiGe at its PBEsol-relaxed geometry, with properties calculated at the meta-GGA SCAN level.

Calculated values
Energy   -242.1 eV/cell
Space-group type   Pmc2_1

a = 3.9005 Å, b = 5.7590 Å, c = 8.1277 Å
α = 90.00°, β = 90.00°, γ = 90.00°
Last column: magnetic moment on the atom in μB.
Fractional positions:
Ce 0.0000 0.1296 0.6840  0.81
Si 0.5000 0.1168 0.9637  -0.03
Ce 0.0000 0.8704 0.1840  0.81
Si 0.5000 0.8832 0.4637  -0.03
Ge 0.0000 0.6179 0.5353  -0.03
Ce 0.5000 0.3653 0.3170  0.85
Ce 0.5000 0.6347 0.8170  0.85
Ge 0.0000 0.3821 0.0353  -0.03



(3)
Below is CeTiGe3 at its PBEsol-relaxed geometry, with properties calculated at the meta-GGA SCAN level.

Calculated values
Energy   -243.1 eV/cell
Space-group type   P6_3/mmc

a = 5.7228 Å, b = 6.1732 Å, c = 6.1732 Å
α = 120.00°, β = 90.00°, γ = 90.00°
Last column: magnetic moment on the atom in μB.
Fractional positions:
Ge 0.2500 0.1974 0.3948  -0.01
Ge 0.7500 0.8026 0.1974  -0.01
Ce 0.2500 0.6667 0.3333  0.71
Ge 0.2500 0.6052 0.8026  -0.01
Ge 0.7500 0.8026 0.6052  -0.01
Ge 0.2500 0.1974 0.8026  -0.01
Ce 0.7500 0.3333 0.6667  0.71
Ti 0.0000 0.0000 0.0000  0.05
Ti 0.5000 0.0000 0.0000  0.05
Ge 0.7500 0.3948 0.1974  -0.01



(4)
Below is CeZnGe at its PBEsol-relaxed geometry, with properties calculated at the meta-GGA SCAN level.

Calculated values
Energy   -158.4 eV/cell
Space-group type   P6_3/mmc

a = 4.1734 Å, b = 4.1734 Å, c = 8.1498 Å
α = 90.00°, β = 90.00°, γ = 120.00°
Last column: magnetic moment on the atom in μB.
Fractional positions:
Ce 0.0000 0.0000 0.0000  0.83
Ge 0.6667 0.3333 0.2500  -0.03
Zn 0.6667 0.3333 0.7500  0.01
Zn 0.3333 0.6667 0.2500  0.01
Ce 0.0000 0.0000 0.5000  0.83
Ge 0.3333 0.6667 0.7500  -0.03



(5)
Below is CeNiSnH at its PBEsol-relaxed geometry, with properties calculated at the meta-GGA SCAN level.

Calculated values
Energy   -410.2 eV/cell
Space-group type   Pnma

a = 4.3161 Å, b = 7.1241 Å, c = 8.0977 Å
α = 90.00°, β = 90.00°, γ = 90.00°
Last column: magnetic moment on the atom in μB.
Fractional positions:
Ce 0.7500 0.0114 0.3046  0.65
H 0.7500 0.5542 0.9176  0.00
H 0.2500 0.4458 0.0824  0.00
Sn 0.7500 0.1741 0.9260  0.00
Ce 0.2500 0.9886 0.6954  0.65
Ni 0.7500 0.2841 0.6027  0.23
Ni 0.2500 0.7159 0.3973  0.23
Ni 0.2500 0.2159 0.1027  0.23
Sn 0.2500 0.3259 0.4260  0.00
H 0.7500 0.0542 0.5824  0.00
Ce 0.7500 0.5114 0.1954  0.65
Sn 0.7500 0.6741 0.5740  0.00
Ce 0.2500 0.4886 0.8046  0.65
H 0.2500 0.9458 0.4176  0.00
Ni 0.7500 0.7841 0.8973  0.23
Sn 0.2500 0.8259 0.0740  0.00



(6)
Below is CeH3O3 at its PBEsol-relaxed geometry, with properties calculated at the meta-GGA SCAN level.

Calculated values
Energy   -175.7 eV/cell
Space-group type   P6_3/m

a = 3.6887 Å, b = 6.4205 Å, c = 6.4205 Å
α = 120.00°, β = 90.00°, γ = 90.00°
Last column: magnetic moment on the atom in μB.
Fractional positions:
H 0.2500 0.2729 0.1381  0.00
O 0.2500 0.6922 0.6111  -0.01
O 0.7500 0.3078 0.3889  -0.01
H 0.2500 0.8619 0.1348  0.00
O 0.7500 0.6111 0.9190  -0.01
O 0.2500 0.9190 0.3078  -0.01
H 0.7500 0.1381 0.8652  0.00
Ce 0.2500 0.3333 0.6667  0.94
Ce 0.7500 0.6667 0.3333  0.94
H 0.2500 0.8652 0.7271  0.00
O 0.7500 0.0810 0.6922  -0.01
H 0.7500 0.1348 0.2729  0.00
O 0.2500 0.3889 0.0810  -0.01
H 0.7500 0.7271 0.8619  0.00



(7)
Below is CeHSO5 at its PBEsol-relaxed geometry, with properties calculated at the meta-GGA SCAN level.

Calculated values
Energy   -429.4 eV/cell
Space-group type   P2_1/c

a = 4.5048 Å, b = 6.7914 Å, c = 12.4669 Å
α = 90.00°, β = 90.00°, γ = 106.29°
Last column: magnetic moment on the atom in μB.
Fractional positions:
S 0.9791 0.8857 0.3552  0.00
Ce 0.1399 0.8074 0.0641  0.94
S 0.0209 0.1143 0.6448  0.00
Ce 0.8601 0.1926 0.9359  0.94
O 0.1905 0.4603 0.4114  -0.02
O 0.7428 0.7121 0.4053  0.00
O 0.9136 0.1849 0.7454  0.00
S 0.5209 0.6143 0.8552  0.00
Ce 0.6399 0.3074 0.4359  0.94
H 0.2665 0.9715 0.8409  0.00
O 0.8095 0.5397 0.5886  -0.02
O 0.2487 0.9500 0.4316  0.00
O 0.1443 0.9403 0.6659  0.00
O 0.4136 0.6849 0.7546  0.00
O 0.7513 0.0500 0.5684  0.00
O 0.3557 0.5597 0.1659  0.00
O 0.0864 0.8151 0.2546  0.00
O 0.2572 0.2878 0.5947  0.00
H 0.2335 0.5285 0.3409  0.00
S 0.4791 0.3857 0.1448  0.00
O 0.6443 0.4403 0.8341  0.00
O 0.5864 0.3151 0.2454  0.00
H 0.7665 0.4715 0.6591  0.00
O 0.2513 0.5500 0.9316  0.00
O 0.6905 0.9603 0.0886  -0.02
H 0.7335 0.0285 0.1591  0.00
O 0.7487 0.4500 0.0684  0.00
O 0.2428 0.2122 0.0947  0.00
O 0.8557 0.0597 0.3341  0.00
O 0.7572 0.7879 0.9053  0.00
O 0.3095 0.0397 0.9114  -0.02
Ce 0.3601 0.6926 0.5641  0.94



(8)
Below is Ce2Zn2Sn2H3 at its PBEsol-relaxed geometry, with properties calculated at the meta-GGA SCAN level.

Calculated values
Energy   -404.1 eV/cell
Space-group type   P6_3/mmc

a = 4.3586 Å, b = 4.3586 Å, c = 17.5080 Å
α = 90.00°, β = 90.00°, γ = 120.00°
Last column: magnetic moment on the atom in μB.
Fractional positions:
Ce 0.0000 0.0000 0.9986  0.92
Zn 0.3333 0.6667 0.8689  -0.01
Zn 0.3333 0.6667 0.6282  -0.01
H 0.3333 0.6667 0.2486  0.00
Ce 0.0000 0.0000 0.7486  0.89
Ce 0.0000 0.0000 0.4986  0.92
Sn 0.3333 0.6667 0.1257  0.00
Sn 0.3333 0.6667 0.3714  0.00
H 0.6667 0.3333 0.4778  0.00
H 0.6667 0.3333 0.7486  0.00
Zn 0.6667 0.3333 0.3689  -0.01
H 0.3333 0.6667 0.9778  0.00
Sn 0.6667 0.3333 0.6257  0.00
H 0.6667 0.3333 0.0193  0.00
H 0.3333 0.6667 0.5193  0.00
Sn 0.6667 0.3333 0.8714  0.00
Ce 0.0000 0.0000 0.2486  0.89
Zn 0.6667 0.3333 0.1282  -0.01



(9)
Below is Ce3HfSb5 at its PBEsol-relaxed geometry, with properties calculated at the meta-GGA SCAN level.

Calculated values
Energy   -783.6 eV/cell
Space-group type   P6_3/mcm

a = 6.1957 Å, b = 9.2592 Å, c = 9.2592 Å
α = 120.00°, β = 90.00°, γ = 90.00°
Last column: magnetic moment on the atom in μB.
Fractional positions:
Ce 0.2500 0.0000 0.3842  0.78
Sb 0.5000 0.3333 0.6667  -0.04
Sb 0.0000 0.3333 0.6667  -0.04
Ce 0.7500 0.6158 0.0000  0.78
Ce 0.2500 0.3842 0.0000  0.78
Sb 0.2500 0.7331 0.0000  -0.03
Ce 0.2500 0.6158 0.6158  0.78
Hf 0.5000 0.0000 0.0000  -0.01
Sb 0.7500 0.0000 0.2669  -0.03
Hf 0.0000 0.0000 0.0000  -0.01
Sb 0.7500 0.7331 0.7331  -0.03
Sb 0.2500 0.0000 0.7331  -0.03
Ce 0.7500 0.0000 0.6158  0.78
Sb 0.7500 0.2669 0.0000  -0.03
Sb 0.5000 0.6667 0.3333  -0.04
Sb 0.0000 0.6667 0.3333  -0.04
Ce 0.7500 0.3842 0.3842  0.78
Sb 0.2500 0.2669 0.2669  -0.03



(10)
Below is Ce3Hg at its PBEsol-relaxed geometry, with properties calculated at the meta-GGA SCAN level.

Calculated values
Energy   -202.8 eV/cell
Space-group type   I4/mmm

a = 4.5848 Å, b = 4.5848 Å, c = 5.7070 Å
α = 113.68°, β = 113.68°, γ = 90.00°
Last column: magnetic moment on the atom in μB.
Fractional positions:
Ce 0.2500 0.7500 0.5000  1.00
Ce 0.7500 0.2500 0.5000  1.00
Ce 0.5000 0.5000 0.0000  0.95
Hg 0.0000 0.0000 0.0000  0.00



(11)
Below is CeNdHg2 at its PBEsol-relaxed geometry, with properties calculated at the meta-GGA SCAN level.

Calculated values
Energy   -226.8 eV/cell
Space-group type   Fm-3m

a = 5.3097 Å, b = 5.3097 Å, c = 5.3097 Å
α = 60.00°, β = 60.00°, γ = 60.00°
Last column: magnetic moment on the atom in μB.
Fractional positions:
Hg 0.2500 0.2500 0.2500  0.02
Hg 0.7500 0.7500 0.7500  0.02
Nd 0.0000 0.0000 0.0000  0.16
Ce 0.5000 0.5000 0.5000  1.07



(12)
Below is CePrHg2 at its PBEsol-relaxed geometry, with properties calculated at the meta-GGA SCAN level.

Calculated values
Energy   -226.5 eV/cell
Space-group type   Fm-3m

a = 5.3283 Å, b = 5.3283 Å, c = 5.3283 Å
α = 60.00°, β = 60.00°, γ = 60.00°
Last column: magnetic moment on the atom in μB.
Fractional positions:
Hg 0.2500 0.2500 0.2500  0.02
Pr 0.0000 0.0000 0.0000  0.16
Hg 0.7500 0.7500 0.7500  0.02
Ce 0.5000 0.5000 0.5000  1.08



(13)
Below is SrCeHg2 at its PBEsol-relaxed geometry, with properties calculated at the meta-GGA SCAN level.

Calculated values
Energy   -205.6 eV/cell
Space-group type   Fm-3m

a = 5.4002 Å, b = 5.4002 Å, c = 5.4002 Å
α = 60.00°, β = 60.00°, γ = 60.00°
Last column: magnetic moment on the atom in μB.
Fractional positions:
Sr 0.5000 0.5000 0.5000  0.00
Hg 0.7500 0.7500 0.7500  0.01
Ce 0.0000 0.0000 0.0000  0.99
Hg 0.2500 0.2500 0.2500  0.01



(14)
Below is Ce2ZnHg at its PBEsol-relaxed geometry, with properties calculated at the meta-GGA SCAN level.

Calculated values
Energy   -172.1 eV/cell
Space-group type   Fm-3m

a = 5.1826 Å, b = 5.1826 Å, c = 5.1826 Å
α = 60.00°, β = 60.00°, γ = 60.00°
Last column: magnetic moment on the atom in μB.
Fractional positions:
Ce 0.7500 0.7500 0.7500  1.05
Hg 0.5000 0.5000 0.5000  0.04
Ce 0.2500 0.2500 0.2500  1.05
Zn 0.0000 0.0000 0.0000  0.03



(15)
Below is CeHo4S7 at its PBEsol-relaxed geometry, with properties calculated at the meta-GGA SCAN level.

Calculated values
Energy   -335.6 eV/cell
Space-group type   C2/m

a = 3.7526 Å, b = 6.6839 Å, c = 11.3974 Å
α = 104.18°, β = 90.00°, γ = 106.30°
Last column: magnetic moment on the atom in μB.
Fractional positions:
Ho 0.1128 0.2256 0.4233  0.01
Ho 0.8872 0.7744 0.5767  0.01
Ho 0.2999 0.5997 0.1906  0.01
S 0.5000 0.0000 0.5000  0.00
S 0.6649 0.3299 0.0537  -0.02
Ho 0.7001 0.4003 0.8094  0.01
S 0.7391 0.4781 0.3526  0.00
S 0.0438 0.0876 0.7793  -0.01
Ce 0.0000 0.0000 0.0000  0.91
S 0.9562 0.9124 0.2207  -0.01
S 0.3351 0.6701 0.9463  -0.02
S 0.2609 0.5219 0.6474  0.00



(16)
Below is CeI3 at its PBEsol-relaxed geometry, with properties calculated at the meta-GGA SCAN level.

Calculated values
Energy   -321.3 eV/cell
Space-group type   P6_3/mmc

a = 4.0762 Å, b = 10.7149 Å, c = 10.7149 Å
α = 120.00°, β = 90.00°, γ = 90.00°
Last column: magnetic moment on the atom in μB.
Fractional positions:
Ce 0.2500 0.6667 0.3333  0.97
Ce 0.7500 0.3333 0.6667  0.97
I 0.2500 0.2065 0.7935  -0.02
I 0.2500 0.5870 0.7935  -0.02
I 0.7500 0.7935 0.5870  -0.02
I 0.2500 0.2065 0.4130  -0.02
I 0.7500 0.4130 0.2065  -0.02
I 0.7500 0.7935 0.2065  -0.02



(17)
Below is CeI3 at its PBEsol-relaxed geometry, with properties calculated at the meta-GGA SCAN level.

Calculated values
Energy   -321.9 eV/cell
Space-group type   Cmcm

a = 4.2827 Å, b = 7.3859 Å, c = 9.8467 Å
α = 90.00°, β = 90.00°, γ = 106.85°
Last column: magnetic moment on the atom in μB.
Fractional positions:
I 0.0810 0.1620 0.2500  -0.02
I 0.9190 0.8380 0.7500  -0.02
I 0.6468 0.2935 0.5647  -0.02
Ce 0.2586 0.5172 0.7500  0.97
I 0.3532 0.7065 0.4353  -0.02
Ce 0.7414 0.4828 0.2500  0.97
I 0.6468 0.2935 0.9353  -0.02
I 0.3532 0.7065 0.0647  -0.02



(18)
Below is K3CeI6 at its PBEsol-relaxed geometry, with properties calculated at the meta-GGA SCAN level.

Calculated values
Energy   -305.0 eV/cell
Space-group type   Fm-3m

a = 8.9588 Å, b = 8.9588 Å, c = 8.9588 Å
α = 60.00°, β = 60.00°, γ = 60.00°
Last column: magnetic moment on the atom in μB.
Fractional positions:
K 0.5000 0.5000 0.5000  0.00
I 0.2422 0.2422 0.7578  -0.01
I 0.7578 0.2422 0.7578  -0.01
Ce 0.0000 0.0000 0.0000  0.98
I 0.2422 0.7578 0.7578  -0.01
I 0.7578 0.2422 0.2422  -0.01
K 0.7500 0.7500 0.7500  0.00
I 0.2422 0.7578 0.2422  -0.01
I 0.7578 0.7578 0.2422  -0.01
K 0.2500 0.2500 0.2500  0.00



(19)
Below is K2LiCeI6 at its PBEsol-relaxed geometry, with properties calculated at the meta-GGA SCAN level.

Calculated values
Energy   -298.9 eV/cell
Space-group type   Fm-3m

a = 8.4006 Å, b = 8.4006 Å, c = 8.4006 Å
α = 60.00°, β = 60.00°, γ = 60.00°
Last column: magnetic moment on the atom in μB.
Fractional positions:
K 0.2500 0.2500 0.2500  0.00
I 0.7421 0.2579 0.2579  -0.01
I 0.7421 0.2579 0.7421  -0.01
Ce 0.0000 0.0000 0.0000  0.99
K 0.7500 0.7500 0.7500  0.00
Li 0.5000 0.5000 0.5000  0.00
I 0.2579 0.2579 0.7421  -0.01
I 0.2579 0.7421 0.2579  -0.01
I 0.7421 0.7421 0.2579  -0.01
I 0.2579 0.7421 0.7421  -0.01



(20)
Below is Rb2LiCeI6 at its PBEsol-relaxed geometry, with properties calculated at the meta-GGA SCAN level.

Calculated values
Energy   -324.2 eV/cell
Space-group type   Fm-3m

a = 8.4225 Å, b = 8.4225 Å, c = 8.4225 Å
α = 60.00°, β = 60.00°, γ = 60.00°
Last column: magnetic moment on the atom in μB.
Fractional positions:
I 0.7424 0.2576 0.7424  -0.01
I 0.2576 0.2576 0.7424  -0.01
I 0.2576 0.7424 0.7424  -0.01
I 0.7424 0.2576 0.2576  -0.01
Rb 0.2500 0.2500 0.2500  0.00
Rb 0.7500 0.7500 0.7500  0.00
Li 0.5000 0.5000 0.5000  0.00
I 0.2576 0.7424 0.2576  -0.01
I 0.7424 0.7424 0.2576  -0.01
Ce 0.0000 0.0000 0.0000  0.99